1.
Density functional theory data (GGA-PBE) for a geometry-optimized InCuGe structure.

Unit cell a=6.227 b=6.180 c=6.115 alpha=90.00 beta=92.15 gamma=90.00
Space group C2/m (No. 12)
Inequivalent atoms, fractional coordinates:
In: 0.000 0.250 0.000
Cu: 0.235 0.000 0.717
Ge: 0.000 0.271 0.500


2.
Density functional theory data (GGA-PBE) for a geometry-optimized InCu4Ge structure.

polymorph energy (0 for the lowest one) = 0 meV/atom

Unit cell a=7.080 b=7.080 c=7.080 alpha=90.00 beta=90.00 gamma=90.00
Space group F-43m (No. 216)
Inequivalent atoms, fractional coordinates:
In: 0.000 0.000 0.000
Cu: 0.125 0.125 0.625
Ge: 0.250 0.250 0.250


no.,magnetic moment (μB/atom),formation energy from the elements (meV/atom)
1,0.00,93
2,0.00,82